GGA-PBE MnPd3S, relaxed; ΔE_f (raw) = 1.089 eV/atom; SG = Pm-3m, No. 221; energy = -23.4 eV per cell; E above lowest polymorph = 1074 meV/atom; DOS at the Fermi energy = 7.3 states/eV per cell
1.0
4.543 0.000 0.000
0.000 4.543 0.000
0.000 0.000 4.543
S Mn Pd
1 1 3
Direct
0.500 0.500 0.500
0.000 0.000 0.000
0.000 0.500 0.000
0.000 0.000 0.500
0.500 0.000 0.000